TiIr3Rh4 PBE relaxed; symmetry = No. 71; final energy = -8.005 eV/atom
1.0
2.631 0.000 -0.730
-0.728 8.083 -2.624
0.356 -2.393 6.391
Ir Rh Ti
3 4 1
Direct
0.205 0.205 0.411
0.795 0.795 0.589
0.000 0.500 0.000
0.371 0.606 0.743
0.629 0.394 0.257
0.629 0.863 0.257
0.371 0.137 0.743
0.500 0.000 0.000